Density functional theory data (GGA-PBE) for a relaxed structure of Dy9ErTl2.

ΔE_f	-110	meV/atom
calculated volume	353.8	Å³/cell

```
data_Dy9ErTl2
_chemical_formula_sum 'Dy9 Er1 Tl2'
_cell_length_a 4.865
_cell_length_b 4.865
_cell_length_c 14.951
_cell_angle_alpha 90.00
_cell_angle_beta 90.00
_cell_angle_gamma 90.00
_symmetry_space_group_name_H-M 'P 4/m m m'
_symmetry_Int_Tables_number 123
_symmetry_space_group_name_Hall '-P 4 2'
loop_
_atom_site_label
_atom_site_type_symbol
_atom_site_fract_x
_atom_site_fract_y
_atom_site_fract_z
Dy1 Dy 0.000 0.000 0.000
Dy2 Dy 0.000 0.000 0.336
Dy3 Dy 0.000 0.500 0.171
Dy4 Dy 0.000 0.500 0.500
Er1 Er 0.500 0.500 0.000
Tl1 Tl 0.500 0.500 0.340
```